Entry 1:
A plane-wave DFT calculation with GGA-PBE was carried out for crystalline KAgAsAu at its relaxed geometry.

Output
N(E_F) = 0.34 states/eV per cell
ΔH_f (0 K) = -0.98 eV/f.u.
theoretical density = 6.4 g/cm³
calculated volume = 108.9 Å³/f.u.

a b c (Å): 4.706 4.818 9.605
angles (deg): 90.00 90.00 90.00
Space group Imm2 (No. 44)
One atom of each set of equivalent atoms:
K1 0.000 0.000 0.000 x2
Ag1 0.000 0.000 0.346 x2
As1 0.000 0.500 0.243 x2
Au1 0.000 0.000 0.652 x2

---

Entry 2:
A plane-wave DFT calculation with GGA-PBE was carried out for crystalline BaTiCu2 at its relaxed geometry.

Output
N(E_F) = 24.20 states/eV per cell
ΔH_f (0 K) = 2.07 eV/f.u.
theoretical density = 4.8 g/cm³
ΔE to the lowest computed polymorph = 0.000 eV per atom
calculated volume = 108.5 Å³/f.u.

a b c (Å): 5.011 5.011 17.276
angles (deg): 90.00 90.00 90.00
Space group I4_1/amd (No. 141, origin choice 2)
One atom of each set of equivalent atoms:
Ba1 0.000 0.250 0.375 x4
Ti1 0.000 0.250 0.875 x4
Cu1 0.000 0.000 0.000 x8

---

Entry 3:
A plane-wave DFT calculation with GGA-PBE was carried out for crystalline AgPdS at its relaxed geometry.

Output
N(E_F) = 2.71 states/eV per cell
theoretical density = 7.7 g/cm³
ΔE to the lowest computed polymorph = 0.124 eV per atom
calculated volume = 52.8 Å³/f.u.

a b c (Å): 3.957 3.832 6.970
angles (deg): 90.00 91.72 90.00
Space group P2/m (No. 10)
One atom of each set of equivalent atoms:
Ag1 0.167 0.000 0.178 x2
Pd1 0.256 0.500 0.656 x2
S1 0.500 0.000 0.500 x1
S2 0.500 0.500 0.000 x1

---

Entry 4:
A plane-wave DFT calculation with GGA-PBE was carried out for crystalline KTaTc2 at its relaxed geometry.

Output
N(E_F) = 4.25 states/eV per cell
ΔH_f (0 K) = 5.35 eV/f.u.
theoretical density = 9.6 g/cm³
ΔE to the lowest computed polymorph = 0.780 eV per atom
calculated volume = 71.8 Å³/f.u.

a b c (Å): 4.894 4.894 2.999
angles (deg): 90.00 90.00 90.00
Space group P4/mmm (No. 123)
One atom of each set of equivalent atoms:
K1 0.000 0.000 0.000 x1
Ta1 0.500 0.500 0.000 x1
Tc1 0.000 0.500 0.500 x2

---

Entry 5:
A plane-wave DFT calculation with GGA-PBE was carried out for crystalline Y2BCl at its relaxed geometry.

Output
N(E_F) = 2.51 states/eV per cell
theoretical density = 4.8 g/cm³
ΔE to the lowest computed polymorph = 0.560 eV per atom
calculated volume = 77.6 Å³/f.u.

a b c (Å): 6.770 6.770 6.770
angles (deg): 90.00 90.00 90.00
Space group Fm-3m (No. 225)
One atom of each set of equivalent atoms:
Y1 0.250 0.250 0.250 x8
B1 0.000 0.000 0.000 x4
Cl1 0.000 0.000 0.500 x4

---

Entry 6:
A plane-wave DFT calculation with GGA-PBE was carried out for crystalline TlGePO2 at its relaxed geometry.

Output
N(E_F) = 3.92 states/eV per cell
theoretical density = 6.1 g/cm³
ΔE to the lowest computed polymorph = 0.918 eV per atom
calculated volume = 92.1 Å³/f.u.

a b c (Å): 4.138 4.138 5.381
angles (deg): 90.00 90.00 90.00
Space group P4/mmm (No. 123)
One atom of each set of equivalent atoms:
Tl1 0.000 0.000 0.000 x1
Ge1 0.500 0.500 0.500 x1
P1 0.000 0.000 0.500 x1
O1 0.000 0.500 0.000 x2

---

Entry 7:
A plane-wave DFT calculation with GGA-PBE was carried out for crystalline BaTaRu at its relaxed geometry.

Output
N(E_F) = 5.74 states/eV per cell
ΔH_f (0 K) = 1.02 eV/f.u.
theoretical density = 9.2 g/cm³
ΔE to the lowest computed polymorph = 0.000 eV per atom
calculated volume = 75.5 Å³/f.u.

a b c (Å): 3.395 3.395 13.103
angles (deg): 90.00 90.00 90.00
Space group I4mm (No. 107)
One atom of each set of equivalent atoms:
Ba1 0.000 0.000 0.000 x2
Ta1 0.000 0.000 0.724 x2
Ru1 0.000 0.000 0.296 x2

---

Entry 8:
A plane-wave DFT calculation with GGA-PBE was carried out for crystalline CuAg3Au12 at its relaxed geometry.

Output
N(E_F) = 3.93 states/eV per cell
ΔH_f (0 K) = -0.45 eV/f.u.
theoretical density = 16.1 g/cm³
calculated volume = 284.0 Å³/f.u.

a b c (Å): 4.152 4.152 16.477
angles (deg): 90.00 90.00 90.00
Space group P4/mmm (No. 123)
One atom of each set of equivalent atoms:
Cu1 0.000 0.000 0.000 x1
Ag1 0.000 0.000 0.246 x2
Ag2 0.000 0.000 0.500 x1
Au1 0.000 0.500 0.119 x4
Au2 0.000 0.500 0.373 x4
Au3 0.500 0.500 0.000 x1
Au4 0.500 0.500 0.246 x2
Au5 0.500 0.500 0.500 x1

---

Entry 9:
A plane-wave DFT calculation with GGA-PBE was carried out for crystalline SrB2Au at its relaxed geometry.

Output
N(E_F) = 6.46 states/eV per cell
ΔH_f (0 K) = 1.42 eV/f.u.
theoretical density = 7.0 g/cm³
ΔE to the lowest computed polymorph = 0.000 eV per atom
calculated volume = 72.2 Å³/f.u.

a b c (Å): 4.428 4.428 14.725
angles (deg): 90.00 90.00 90.00
Space group I4_1/amd (No. 141, origin choice 2)
One atom of each set of equivalent atoms:
Sr1 0.000 0.250 0.375 x4
B1 0.000 0.000 0.000 x8
Au1 0.000 0.250 0.875 x4

---

Entry 10:
A plane-wave DFT calculation with GGA-PBE was carried out for crystalline H2RhAu2 at its relaxed geometry.

Output
N(E_F) = 3.62 states/eV per cell
theoretical density = 14.6 g/cm³
ΔE to the lowest computed polymorph = 0.000 eV per atom
calculated volume = 56.9 Å³/f.u.

a b c (Å): 5.037 2.963 7.651
angles (deg): 90.00 94.97 90.00
Space group C2/m (No. 12)
One atom of each set of equivalent atoms:
H1 0.176 0.000 0.092 x4
Rh1 0.000 0.500 0.000 x2
Au1 0.179 0.000 0.658 x4

---

Entry 11:
A plane-wave DFT calculation with GGA-PBE was carried out for crystalline Ti2V5Mo2 at its relaxed geometry.

Output
N(E_F) = 52.79 states/eV per cell
ΔH_f (0 K) = 3.29 eV/f.u.
theoretical density = 6.4 g/cm³
ΔE to the lowest computed polymorph = 0.395 eV per atom
calculated volume = 141.2 Å³/f.u.

a b c (Å): 10.935 8.184 6.312
angles (deg): 90.00 90.00 90.00
Space group Cmce (No. 64)
One atom of each set of equivalent atoms:
Ti1 0.237 0.000 0.000 x8
V1 0.000 0.000 0.000 x4
V2 0.136 0.216 0.305 x16
Mo1 0.000 0.098 0.644 x8

---

Entry 12:
A plane-wave DFT calculation with GGA-PBE was carried out for crystalline Zn2SnRh5 at its relaxed geometry.

Output
N(E_F) = 9.40 states/eV per cell
ΔH_f (0 K) = -2.56 eV/f.u.
theoretical density = 10.8 g/cm³
calculated volume = 117.4 Å³/f.u.

a b c (Å): 4.070 4.070 14.181
angles (deg): 90.00 90.00 90.00
Space group I4/mmm (No. 139)
One atom of each set of equivalent atoms:
Zn1 0.000 0.000 0.249 x4
Sn1 0.000 0.000 0.500 x2
Rh1 0.000 0.000 0.000 x2
Rh2 0.000 0.500 0.131 x8

---

Entry 13:
A plane-wave DFT calculation with GGA-PBE was carried out for crystalline Pr12YSn3 at its relaxed geometry.

Output
N(E_F) = 17.47 states/eV per cell
ΔH_f (0 K) = -5.16 eV/f.u.
theoretical density = 6.9 g/cm³
calculated volume = 514.8 Å³/f.u.

a b c (Å): 5.020 5.020 20.430
angles (deg): 90.00 90.00 90.00
Space group P4/mmm (No. 123)
One atom of each set of equivalent atoms:
Pr1 0.000 0.000 0.000 x1
Pr2 0.000 0.000 0.243 x2
Pr3 0.000 0.000 0.500 x1
Pr4 0.000 0.500 0.121 x4
Pr5 0.000 0.500 0.366 x4
Y1 0.500 0.500 0.500 x1
Sn1 0.500 0.500 0.000 x1
Sn2 0.500 0.500 0.244 x2

---

Entry 14:
A plane-wave DFT calculation with GGA-PBE was carried out for crystalline BaCd8Hg2 at its relaxed geometry.

Output
N(E_F) = 3.96 states/eV per cell
ΔH_f (0 K) = -0.13 eV/f.u.
theoretical density = 7.4 g/cm³
ΔE to the lowest computed polymorph = 0.000 eV per atom
calculated volume = 320.7 Å³/f.u.

a b c (Å): 5.213 5.213 11.802
angles (deg): 90.00 90.00 90.00
Space group P4/mmm (No. 123)
One atom of each set of equivalent atoms:
Ba1 0.000 0.000 0.000 x1
Cd1 0.000 0.500 0.208 x4
Cd2 0.000 0.500 0.500 x2
Cd3 0.500 0.500 0.355 x2
Hg1 0.000 0.000 0.346 x2

---

Entry 15:
A plane-wave DFT calculation with GGA-PBE was carried out for crystalline PmAl4Ir at its relaxed geometry.

Output
N(E_F) = 17.13 states/eV per cell
ΔH_f (0 K) = -2.33 eV/f.u.
theoretical density = 5.9 g/cm³
ΔE to the lowest computed polymorph = 0.293 eV per atom
calculated volume = 125.9 Å³/f.u.

a b c (Å): 8.914 8.930 7.726
angles (deg): 90.00 125.04 90.00
Space group C2/m (No. 12)
One atom of each set of equivalent atoms:
Pm1 0.250 0.250 0.000 x4
Al1 0.019 0.000 0.339 x4
Al2 0.170 0.350 0.340 x8
Al3 0.179 0.500 0.661 x4
Ir1 0.000 0.250 0.500 x4

---

Entry 16:
A plane-wave DFT calculation with GGA-PBE was carried out for crystalline Mg5Rh2 at its relaxed geometry.

Output
N(E_F) = 6.00 states/eV per cell
ΔH_f (0 K) = -2.75 eV/f.u.
theoretical density = 4.2 g/cm³
ΔE to the lowest computed polymorph = 0.000 eV per atom
calculated volume = 129.2 Å³/f.u.

a b c (Å): 8.6256 8.6256 8.0239
angles (deg): 90.00 90.00 120.00
Space group P6_3/mmc (No. 194)
One atom of each set of equivalent atoms:
Mg1 0.0000 0.0000 0.0000 x2
Mg2 0.0804 0.5402 0.2500 x6
Mg3 0.1914 0.3827 0.5642 x12
Rh1 0.1223 0.2447 0.2500 x6
Rh2 0.3333 0.6667 0.7500 x2

---

Entry 17:
A plane-wave DFT calculation with GGA-PBE was carried out for crystalline SrSb2 at its relaxed geometry.

Output
calculated total energy = -3.95 eV/atom
N(E_F) = 9.50 states/eV per cell
theoretical density = 5.7 g/cm³
calculated volume = 96.0 Å³/f.u.

a b c (Å): 4.582 4.582 36.593
angles (deg): 90.00 90.00 90.00
Space group I4_1/amd (No. 141, origin choice 2)
One atom of each set of equivalent atoms:
Sr1 0.000 0.250 0.304 x8
Sb1 0.000 0.250 0.123 x8
Sb2 0.000 0.250 0.775 x8

---

Entry 18:
A plane-wave DFT calculation with GGA-PBE was carried out for crystalline HfZrTaRe at its relaxed geometry.

Output
N(E_F) = 19.01 states/eV per cell
ΔH_f (0 K) = -0.25 eV/f.u.
theoretical density = 14.2 g/cm³
calculated volume = 74.3 Å³/f.u.

a b c (Å): 6.674 6.674 6.674
angles (deg): 90.00 90.00 90.00
Space group F-43m (No. 216)
One atom of each set of equivalent atoms:
Hf1 0.000 0.000 0.000 x4
Zr1 0.250 0.250 0.750 x4
Ta1 0.000 0.000 0.500 x4
Re1 0.250 0.250 0.250 x4

---

Entry 19:
A plane-wave DFT calculation with GGA-PBE was carried out for crystalline AcIO4 at its relaxed geometry.

Output
N(E_F) = 0.00 states/eV per cell
theoretical density = 7.4 g/cm³
ΔE to the lowest computed polymorph = 0.000 eV per atom
calculated volume = 93.6 Å³/f.u.

a b c (Å): 6.447 6.884 10.163
angles (deg): 90.00 123.89 90.00
Space group P2_1/c (No. 14)
One atom of each set of equivalent atoms:
Ac1 0.122 0.098 0.364 x4
I1 0.474 0.578 0.659 x4
O1 0.216 0.160 0.644 x4
O2 0.247 0.038 0.896 x4
O3 0.248 0.659 0.718 x4
O4 0.432 0.676 0.068 x4

---

Entry 20:
A plane-wave DFT calculation with GGA-PBE was carried out for crystalline SrGa3H at its relaxed geometry.

Output
calculated total energy = -2.79 eV/atom
N(E_F) = 4.02 states/eV per cell
theoretical density = 5.1 g/cm³
calculated volume = 96.9 Å³/f.u.

a b c (Å): 4.593 4.593 4.593
angles (deg): 90.00 90.00 90.00
Space group Pm-3m (No. 221)
One atom of each set of equivalent atoms:
Sr1 0.000 0.000 0.000 x1
Ga1 0.000 0.500 0.500 x3
H1 0.500 0.500 0.500 x1